# CsNaSr2 (GGA-PBE, optimized geometry)
# - Formation energy: 0.135 eV per atom
# - Total moment: 0.000 μB per formula unit
# - D(E_F): 3.999 states/eV per cell
# - Symmetry: R3m, No. 160
data_CsNaSr2
_cell_length_a 14.599
_cell_length_b 14.599
_cell_length_c 14.599
_cell_angle_alpha 17.30
_cell_angle_beta 17.30
_cell_angle_gamma 17.30
_space_group_name_H-M_alt 'P 1'
_space_group_IT_number 1
loop_
_space_group_symop_operation_xyz
'x,y,z'
loop_
_atom_site_label
_atom_site_type_symbol
_atom_site_fract_x
_atom_site_fract_y
_atom_site_fract_z
Cs1 Cs 0.000 0.000 0.000
Na1 Na 0.167 0.167 0.167
Sr1 Sr 0.572 0.572 0.572
Sr2 Sr 0.761 0.761 0.761



# CsNa8Sr3 (GGA-PBE, optimized geometry)
# - Formation energy: 0.023 eV per atom
# - Total moment: 0.000 μB per formula unit
# - D(E_F): 8.698 states/eV per cell
# - Symmetry: P3m1, No. 156
data_CsNa8Sr3
_cell_length_a 7.251
_cell_length_b 7.251
_cell_length_c 11.985
_cell_angle_alpha 90.00
_cell_angle_beta 90.00
_cell_angle_gamma 120.00
_space_group_name_H-M_alt 'P 1'
_space_group_IT_number 1
loop_
_space_group_symop_operation_xyz
'x,y,z'
loop_
_atom_site_label
_atom_site_type_symbol
_atom_site_fract_x
_atom_site_fract_y
_atom_site_fract_z
Cs1 Cs 0.000 0.000 0.000
Na1 Na 0.165 0.330 0.676
Na2 Na 0.165 0.835 0.676
Na3 Na 0.333 0.667 0.436
Na4 Na 0.333 0.667 0.931
Na5 Na 0.504 0.007 0.196
Na6 Na 0.504 0.496 0.196
Na7 Na 0.670 0.835 0.676
Na8 Na 0.993 0.496 0.196
Sr1 Sr 0.000 0.000 0.386
Sr2 Sr 0.667 0.333 0.498
Sr3 Sr 0.667 0.333 0.856



# CsNaSr2 (GGA-PBE, optimized geometry)
# - Formation energy: 0.170 eV per atom
# - Total moment: 0.000 μB per formula unit
# - D(E_F): 3.943 states/eV per cell
# - Symmetry: R-3m, No. 166
data_CsNaSr2
_cell_length_a 15.004
_cell_length_b 15.004
_cell_length_c 15.004
_cell_angle_alpha 16.59
_cell_angle_beta 16.59
_cell_angle_gamma 16.59
_space_group_name_H-M_alt 'P 1'
_space_group_IT_number 1
loop_
_space_group_symop_operation_xyz
'x,y,z'
loop_
_atom_site_label
_atom_site_type_symbol
_atom_site_fract_x
_atom_site_fract_y
_atom_site_fract_z
Cs1 Cs 0.000 0.000 0.000
Na1 Na 0.500 0.500 0.500
Sr1 Sr 0.097 0.097 0.097
Sr2 Sr 0.903 0.903 0.903



# CsNa10Sr (GGA-PBE, optimized geometry)
# - Formation energy: 0.037 eV per atom
# - Total moment: 0.000 μB per formula unit
# - D(E_F): 7.927 states/eV per cell
# - Symmetry: Pmmm, No. 47
data_CsNa10Sr
_cell_length_a 5.823
_cell_length_b 7.363
_cell_length_c 12.554
_cell_angle_alpha 90.00
_cell_angle_beta 90.00
_cell_angle_gamma 90.00
_space_group_name_H-M_alt 'P 1'
_space_group_IT_number 1
loop_
_space_group_symop_operation_xyz
'x,y,z'
loop_
_atom_site_label
_atom_site_type_symbol
_atom_site_fract_x
_atom_site_fract_y
_atom_site_fract_z
Cs1 Cs 0.000 0.000 0.000
Na1 Na 0.000 0.000 0.344
Na2 Na 0.000 0.000 0.656
Na3 Na 0.000 0.500 0.180
Na4 Na 0.000 0.500 0.820
Na5 Na 0.500 0.000 0.500
Na6 Na 0.500 0.265 0.274
Na7 Na 0.500 0.265 0.726
Na8 Na 0.500 0.500 0.000
Na9 Na 0.500 0.735 0.274
Na10 Na 0.500 0.735 0.726
Sr1 Sr 0.000 0.500 0.500



# CsNaSr2Tl (GGA-PBE, optimized geometry)
# - Formation energy: -0.005 eV per atom
# - Total moment: 0.000 μB per formula unit
# - E above lowest polymorph: 0.0 kJ per mole of atoms
# - D(E_F): 6.404 states/eV per cell
# - Symmetry: P4/mmm, No. 123
data_CsNaSr2Tl
_cell_length_a 6.600
_cell_length_b 6.600
_cell_length_c 6.454
_cell_angle_alpha 90.00
_cell_angle_beta 90.00
_cell_angle_gamma 90.00
_space_group_name_H-M_alt 'P 1'
_space_group_IT_number 1
loop_
_space_group_symop_operation_xyz
'x,y,z'
loop_
_atom_site_label
_atom_site_type_symbol
_atom_site_fract_x
_atom_site_fract_y
_atom_site_fract_z
Cs1 Cs 0.000 0.000 0.000
Na1 Na 0.500 0.500 0.000
Sr1 Sr 0.000 0.500 0.500
Sr2 Sr 0.500 0.000 0.500
Tl1 Tl 0.500 0.500 0.500



# CsNaSr2Tl (GGA-PBE, optimized geometry)
# - Formation energy: 0.067 eV per atom
# - Total moment: 0.000 μB per formula unit
# - E above lowest polymorph: 6.9 kJ per mole of atoms
# - D(E_F): 5.246 states/eV per cell
# - Symmetry: P4/mmm, No. 123
data_CsNaSr2Tl
_cell_length_a 6.562
_cell_length_b 6.562
_cell_length_c 7.208
_cell_angle_alpha 90.00
_cell_angle_beta 90.00
_cell_angle_gamma 90.00
_space_group_name_H-M_alt 'P 1'
_space_group_IT_number 1
loop_
_space_group_symop_operation_xyz
'x,y,z'
loop_
_atom_site_label
_atom_site_type_symbol
_atom_site_fract_x
_atom_site_fract_y
_atom_site_fract_z
Cs1 Cs 0.000 0.000 0.000
Na1 Na 0.500 0.500 0.000
Sr1 Sr 0.000 0.500 0.500
Sr2 Sr 0.500 0.000 0.500
Tl1 Tl 0.000 0.000 0.500



# CsNa3Ta (GGA-PBE, optimized geometry)
# - Formation energy: 1.162 eV per atom
# - Total moment: 5.533 μB per formula unit
# - D(E_F): 4.496 states/eV per cell
# - Symmetry: Pm-3m, No. 221
data_CsNa3Ta
_cell_length_a 6.263
_cell_length_b 6.263
_cell_length_c 6.263
_cell_angle_alpha 90.00
_cell_angle_beta 90.00
_cell_angle_gamma 90.00
_space_group_name_H-M_alt 'P 1'
_space_group_IT_number 1
loop_
_space_group_symop_operation_xyz
'x,y,z'
loop_
_atom_site_label
_atom_site_type_symbol
_atom_site_fract_x
_atom_site_fract_y
_atom_site_fract_z
Cs1 Cs 0.000 0.000 0.000
Na1 Na 0.000 0.500 0.500
Na2 Na 0.500 0.000 0.500
Na3 Na 0.500 0.500 0.000
Ta1 Ta 0.500 0.500 0.500



# CsNaTa2 (GGA-PBE, optimized geometry)
# - Formation energy: 2.140 eV per atom
# - Total moment: 0.000 μB per formula unit
# - E above lowest polymorph: 0.0 kJ per mole of atoms
# - D(E_F): 5.509 states/eV per cell
# - Symmetry: I-42d, No. 122
data_CsNaTa2
_cell_length_a 7.030
_cell_length_b 7.030
_cell_length_c 7.030
_cell_angle_alpha 98.55
_cell_angle_beta 98.55
_cell_angle_gamma 134.64
_space_group_name_H-M_alt 'P 1'
_space_group_IT_number 1
loop_
_space_group_symop_operation_xyz
'x,y,z'
loop_
_atom_site_label
_atom_site_type_symbol
_atom_site_fract_x
_atom_site_fract_y
_atom_site_fract_z
Cs1 Cs 0.000 0.000 0.000
Cs2 Cs 0.750 0.250 0.500
Na1 Na 0.250 0.750 0.500
Na2 Na 0.500 0.500 0.000
Ta1 Ta 0.125 0.125 0.500
Ta2 Ta 0.375 0.875 0.000
Ta3 Ta 0.625 0.625 0.500
Ta4 Ta 0.875 0.375 0.000



# CsNaTa2 (GGA-PBE, optimized geometry)
# - Formation energy: 2.370 eV per atom
# - Total moment: 0.040 μB per formula unit
# - E above lowest polymorph: 22.1 kJ per mole of atoms
# - D(E_F): 6.586 states/eV per cell
# - Symmetry: Fm-3m, No. 225
data_CsNaTa2
_cell_length_a 5.076
_cell_length_b 5.076
_cell_length_c 5.076
_cell_angle_alpha 60.00
_cell_angle_beta 60.00
_cell_angle_gamma 60.00
_space_group_name_H-M_alt 'P 1'
_space_group_IT_number 1
loop_
_space_group_symop_operation_xyz
'x,y,z'
loop_
_atom_site_label
_atom_site_type_symbol
_atom_site_fract_x
_atom_site_fract_y
_atom_site_fract_z
Cs1 Cs 0.000 0.000 0.000
Na1 Na 0.500 0.500 0.500
Ta1 Ta 0.250 0.250 0.250
Ta2 Ta 0.750 0.750 0.750



# Cs3NaTc (GGA-PBE, optimized geometry)
# - Formation energy: 1.095 eV per atom
# - Total moment: 0.002 μB per formula unit
# - E above lowest polymorph: 0.0 kJ per mole of atoms
# - D(E_F): 7.050 states/eV per cell
# - Symmetry: Pm-3m, No. 221
data_Cs3NaTc
_cell_length_a 6.217
_cell_length_b 6.217
_cell_length_c 6.217
_cell_angle_alpha 90.00
_cell_angle_beta 90.00
_cell_angle_gamma 90.00
_space_group_name_H-M_alt 'P 1'
_space_group_IT_number 1
loop_
_space_group_symop_operation_xyz
'x,y,z'
loop_
_atom_site_label
_atom_site_type_symbol
_atom_site_fract_x
_atom_site_fract_y
_atom_site_fract_z
Cs1 Cs 0.000 0.000 0.500
Cs2 Cs 0.000 0.500 0.000
Cs3 Cs 0.500 0.000 0.000
Na1 Na 0.500 0.500 0.500
Tc1 Tc 0.000 0.000 0.000



# CsNa3Tc (GGA-PBE, optimized geometry)
# - Formation energy: 1.626 eV per atom
# - Total moment: 3.478 μB per formula unit
# - D(E_F): 8.724 states/eV per cell
# - Symmetry: Pm-3m, No. 221
data_CsNa3Tc
_cell_length_a 6.336
_cell_length_b 6.336
_cell_length_c 6.336
_cell_angle_alpha 90.00
_cell_angle_beta 90.00
_cell_angle_gamma 90.00
_space_group_name_H-M_alt 'P 1'
_space_group_IT_number 1
loop_
_space_group_symop_operation_xyz
'x,y,z'
loop_
_atom_site_label
_atom_site_type_symbol
_atom_site_fract_x
_atom_site_fract_y
_atom_site_fract_z
Cs1 Cs 0.000 0.000 0.000
Na1 Na 0.000 0.000 0.500
Na2 Na 0.000 0.500 0.000
Na3 Na 0.500 0.000 0.000
Tc1 Tc 0.500 0.500 0.500



# CsNa2Tc (GGA-PBE, optimized geometry)
# - Formation energy: 1.164 eV per atom
# - Total moment: 3.528 μB per formula unit
# - D(E_F): 5.834 states/eV per cell
# - Symmetry: Fm-3m, No. 225
data_CsNa2Tc
_cell_length_a 5.883
_cell_length_b 5.883
_cell_length_c 5.883
_cell_angle_alpha 60.00
_cell_angle_beta 60.00
_cell_angle_gamma 60.00
_space_group_name_H-M_alt 'P 1'
_space_group_IT_number 1
loop_
_space_group_symop_operation_xyz
'x,y,z'
loop_
_atom_site_label
_atom_site_type_symbol
_atom_site_fract_x
_atom_site_fract_y
_atom_site_fract_z
Cs1 Cs 0.000 0.000 0.000
Na1 Na 0.250 0.250 0.250
Na2 Na 0.750 0.750 0.750
Tc1 Tc 0.500 0.500 0.500



| no. | total DFT energy (no corrections) (eV per atom) |
| --- | --- |
| 1 | -1.2490 |
| 2 | -1.3482 |
| 3 | -1.2136 |
| 4 | -1.2730 |
| 5 | -1.5857 |
| 6 | -1.5138 |
| 7 | -2.1711 |
| 8 | -4.3292 |
| 9 | -4.0998 |
| 10 | -1.7543 |
| 11 | -1.4096 |
| 12 | -2.3002 |